4
Lattice="3.568 0.000 0.000 -1.784 3.090 0.000 0.000 0.000 11.977" Properties=species:S:1:pos:R:3 comment="PBE LiPrSm2, optimized geometry" formation_enthalpy_0k_mev_per_atom=145 pbc="T T T"
Sm 1.784 1.030 3.041
Pr 0.000 0.000 0.105
Li 1.784 1.030 6.280
Sm 0.000 2.060 9.080

***

8
Lattice="-3.155 2.310 -0.450 -1.594 -2.652 -2.433 -6.793 -4.683 6.374" Properties=species:S:1:pos:R:3 comment="PBE ScRe2Hg, optimized geometry" formation_enthalpy_0k_mev_per_atom=628 pbc="T T T"
Sc -2.375 -0.171 -1.442
Re -3.678 -0.199 1.035
Re -9.154 -3.650 2.406
Sc -5.381 -3.753 1.250
Re -3.281 -2.399 -0.011
Hg -6.162 -1.272 2.241
Re -6.973 -3.802 3.551
Hg 0.000 0.000 0.000

***

8
Lattice="4.872 0.000 0.000 0.000 4.872 0.000 0.000 0.000 7.852" Properties=species:S:1:pos:R:3 comment="PBE HoMg6Cd, optimized geometry" formation_enthalpy_0k_mev_per_atom=-53 pbc="T T T"
Cd 0.000 0.000 3.926
Mg 2.436 0.000 5.760
Ho 0.000 0.000 0.000
Mg 2.436 2.436 3.926
Mg 0.000 2.436 2.091
Mg 2.436 0.000 2.091
Mg 2.436 2.436 0.000
Mg 0.000 2.436 5.760

***

10
Lattice="4.244 0.002 -2.270 -2.729 3.961 0.000 0.075 0.053 5.227" Properties=species:S:1:pos:R:3 comment="PBE ErH6Rh3, optimized geometry" energy_ev_per_cell=-49.881 pbc="T T T"
Er 0.935 3.565 1.736
Rh -0.378 2.659 -0.709
H 1.109 1.768 0.106
H 3.195 0.410 -0.510
H 0.349 1.745 3.154
Rh 0.577 0.397 1.079
H -1.068 3.666 3.206
H 2.508 1.663 2.039
H -1.266 2.838 0.979
Rh 1.987 1.371 3.702

***

14
Lattice="4.487 0.000 0.000 0.000 6.939 -4.006 0.000 0.000 8.012" Properties=species:S:1:pos:R:3 comment="PBE Co3S3Cl, optimized geometry" formation_energy_uncorrected_mev_per_atom=-219 pbc="T T T"
S 1.122 4.935 4.017
S 1.122 1.011 1.730
Co 1.122 5.808 -2.023
Co 1.122 5.786 2.036
Cl 1.122 4.626 0.000
Co 1.122 2.282 -0.013
Co 3.365 1.152 1.970
Cl 3.365 2.313 4.006
S 1.122 0.993 6.271
Co 3.365 1.130 6.029
Co 3.365 4.656 4.019
S 3.365 5.927 2.276
S 3.365 2.004 -0.011
S 3.365 5.946 -2.265

***

4
Lattice="5.228 0.007 0.014 2.274 4.707 -0.014 -3.175 -3.274 2.556" Properties=species:S:1:pos:R:3 comment="PBE Li2HgRu, optimized geometry" formation_enthalpy_0k_mev_per_atom=106 pbc="T T T"
Hg 1.425 1.895 1.271
Ru 2.902 -0.454 1.285
Li 3.784 2.378 0.000
Li 7.469 4.694 0.000